A plane-wave DFT calculation with PBE was carried out for a relaxed GaFeNi2H crystal.

Calculated values
The energy comes out at -5.4600 eV per atom. Its space group is No. 123.

Geometry as extended XYZ:
```
5
Lattice="-3.259 -0.295 -1.500 -1.048 -2.140 2.698 -1.164 3.013 1.938" Properties=species:S:1:pos:R:3 pbc="T T T"
Ni -0.524 -1.070 1.349
Ni -1.629 -0.147 -0.750
Fe -0.582 1.507 0.969
Ga -2.735 0.289 1.568
H 0.000 0.000 0.000
```